# ZrBi2Pd2

A relaxed structure of ZrBi2Pd2 (GGA-PBE, Alexandria via LeMat-Bulk).

a b c (Å): 8.0835 8.0835 3.3651
angles (deg): 90.00 90.00 90.00
Last column: nearest neighbours and their distance in Å.
Space group P4/mbm (No. 127)
Inequivalent atoms, fractional coordinates:
Zr  0.0000  0.0000  0.0000 x2  4 Bi 3.06, 2 Zr 3.37
Bi  0.1552  0.3448  0.0000 x4  6 Pd 2.85-2.95, 2 Zr 3.06
Pd  0.1437  0.6437  0.5000 x4  6 Bi 2.85-2.95

Total magnetization in μB/atom: 0.0000
Calculated volume in Å³ per cell: 219.9
Density in g cm⁻³: 10.9
Calculated total energy in eV/atom: -5.53
Fermi-level density of states in states/eV/f.u.: 2.2
Distance to the lowest polymorph of the same formula in eV/atom: 0.096

=====

# SmMg5Cd4

A relaxed structure of SmMg5Cd4 (GGA-PBE, Alexandria via LeMat-Bulk).

a b c (Å): 14.4988 4.9395 6.6703
angles (deg): 90.00 104.06 90.00
Last column: nearest neighbours and their distance in Å.
Space group C2/m (No. 12)
Inequivalent atoms, fractional coordinates:
Sm  0.0000  0.0000  0.0000 x2  6 Cd 3.26-3.33, 8 Mg 3.34-3.52
Mg  0.0000  0.0000  0.5000 x2  6 Mg 3.20-3.39, 6 Cd 3.33-3.43, 2 Sm 3.34
Mg  0.1016  0.5000  0.3366 x4  5 Cd 2.85-3.19, 1 Mg 3.17
Mg  0.2150  0.0000  0.8419 x4  6 Cd 2.96-3.29, 3 Mg 3.17-3.25
Cd  0.1001  0.5000  0.8137 x4  5 Mg 2.85-3.19
Cd  0.2089  0.0000  0.3458 x4  5 Mg 2.91-3.09, 3 Cd 3.20-3.25

Total magnetization in μB/atom: 0.0000
Calculated volume in Å³ per cell: 463.4
Density in g cm⁻³: 5.2
Calculated total energy in eV/atom: -1.80
Fermi-level density of states in states/eV/f.u.: 4.3

=====

# Tb3GaTe2

A relaxed structure of Tb3GaTe2 (GGA-PBE, Alexandria via LeMat-Bulk).

a b c (Å): 4.2225 6.1097 13.2986
angles (deg): 90.00 90.00 90.00
Last column: nearest neighbours and their distance in Å.
Space group Immm (No. 71)
Inequivalent atoms, fractional coordinates:
Tb  0.0000  0.0000  0.0000 x2  2 Ga 3.05, 4 Te 3.12
Tb  0.0000  0.0000  0.3473 x4  2 Ga 2.93, 4 Te 3.07-3.14
Ga  0.0000  0.5000  0.0000 x2  6 Tb 2.93-3.05
Te  0.0000  0.5000  0.3274 x4  6 Tb 3.07-3.14

Total magnetization in μB/atom: 0.0000
Calculated volume in Å³ per cell: 343.1
Density in g cm⁻³: 7.8
Calculated total energy in eV/atom: -4.99
Fermi-level density of states in states/eV/f.u.: 1.5
Distance to the lowest polymorph of the same formula in eV/atom: 0.000